[1]
ThCoCu: relaxed, PBE.

Energy of formation ... -0.13 eV/atom
Crystal system ... triclinic

Unit cell a=4.1345 b=4.1717 c=7.0612 alpha=72.82 beta=84.52 gamma=71.29
Positions (direct):
Th  0.0012  0.1406  0.2188
Th  0.9988  0.8594  0.7812
Co  0.4995  0.3046  0.8921
Co  0.5005  0.6954  0.1079
Cu  0.3282  0.3266  0.5004
Cu  0.6718  0.6734  0.4996



[2]
NiBAu: relaxed, PBE.

Energy of formation ... 0.23 eV/atom
Crystal system ... orthorhombic

Unit cell a=3.5451 b=3.7090 c=3.7090 alpha=47.71 beta=90.00 gamma=90.00
Positions (direct):
Ni  0.0000  0.0000  0.0000
B  0.0000  0.3027  0.3027
Au  0.5000  0.7121  0.7121



[3]
WSe2Cl: relaxed, PBE.

Excess energy over the best structure of this formula in the dataset ... 694 meV/atom
Crystal system ... tetragonal
Uncorrected formation energy ... 369 meV/atom

Unit cell a=3.4398 b=3.4398 c=7.7024 alpha=90.00 beta=90.00 gamma=90.00
Positions (direct):
W  0.0000  0.0000  0.0000
Se  0.0000  0.0000  0.6746
Se  0.5000  0.5000  0.8597
Cl  0.5000  0.5000  0.2394



[4]
Hf2Te2Cl: relaxed, PBE.

Excess energy over the best structure of this formula in the dataset ... 290 meV/atom
Crystal system ... tetragonal
Uncorrected formation energy ... -378 meV/atom

Unit cell a=7.3731 b=7.3731 c=7.3731 alpha=142.37 beta=142.37 gamma=54.28
Positions (direct):
Hf  0.2500  0.7500  0.5000
Hf  0.7500  0.2500  0.5000
Te  0.1327  0.1327  0.0000
Te  0.8673  0.8673  0.0000
Cl  0.5000  0.5000  0.0000



[5]
TcNiSb2Pt: relaxed, PBE.

Crystal system ... tetragonal
Uncorrected formation energy ... 881 meV/atom

Unit cell a=4.7552 b=4.7552 c=4.7514 alpha=90.00 beta=90.00 gamma=90.00
Positions (direct):
Tc  0.0000  0.0000  0.0000
Ni  0.5000  0.5000  0.5000
Sb  0.0000  0.5000  0.5000
Sb  0.5000  0.0000  0.5000
Pt  0.5000  0.5000  0.0000



[6]
LiTeCl2: relaxed, PBE.

Excess energy over the best structure of this formula in the dataset ... 232 meV/atom
Crystal system ... monoclinic
Uncorrected formation energy ... -716 meV/atom

Unit cell a=3.5071 b=7.3216 c=5.2240 alpha=90.00 beta=108.06 gamma=90.00
Positions (direct):
Li  0.0000  0.0000  0.0000
Te  0.3088  0.5000  0.7655
Cl  0.0775  0.5000  0.2866
Cl  0.6251  0.0000  0.2713



[7]
Tb2Ni12P3Ir: relaxed, PBE.

Energy of formation ... 0.03 eV/atom
Crystal system ... trigonal

Unit cell a=7.1341 b=7.1341 c=7.1341 alpha=64.18 beta=64.18 gamma=64.18
Positions (direct):
Tb  0.1077  0.1077  0.1077
Tb  0.8923  0.8923  0.8923
Ni  0.1151  0.6301  0.6301
Ni  0.1549  0.1549  0.6026
Ni  0.1549  0.6026  0.1549
Ni  0.3699  0.3699  0.8849
Ni  0.3699  0.8849  0.3699
Ni  0.3974  0.8451  0.8451
Ni  0.6026  0.1549  0.1549
Ni  0.6301  0.1151  0.6301
Ni  0.6301  0.6301  0.1151
Ni  0.8451  0.3974  0.8451
Ni  0.8451  0.8451  0.3974
Ni  0.8849  0.3699  0.3699
P  0.0000  0.5000  0.5000
P  0.5000  0.0000  0.5000
P  0.5000  0.5000  0.0000
Ir  0.5000  0.5000  0.5000



[8]
Ni3Mo2Ir: relaxed, PBE.

Excess energy over the best structure of this formula in the dataset ... 0 meV/atom
Energy of formation ... -0.07 eV/atom
Crystal system ... monoclinic

Unit cell a=4.9200 b=4.9200 c=6.6736 alpha=97.97 beta=97.97 gamma=95.35
Positions (direct):
Ni  0.0759  0.9241  0.7500
Ni  0.1515  0.3259  0.9980
Ni  0.3259  0.1515  0.4980
Ni  0.6741  0.8485  0.5020
Ni  0.8485  0.6741  0.0020
Ni  0.9241  0.0759  0.2500
Mo  0.1291  0.6217  0.3754
Mo  0.3783  0.8709  0.1246
Mo  0.6217  0.1291  0.8754
Mo  0.8709  0.3783  0.6246
Ir  0.4158  0.5842  0.7500
Ir  0.5842  0.4158  0.2500



[9]
Pr4YTm: relaxed, PBE.

Excess energy over the best structure of this formula in the dataset ... 577 meV/atom
Energy of formation ... 0.60 eV/atom
Crystal system ... orthorhombic

Unit cell a=8.3553 b=8.3553 c=3.5084 alpha=90.00 beta=90.00 gamma=90.11
Positions (direct):
Pr  0.2415  0.7585  0.0000
Pr  0.2623  0.2623  0.5000
Pr  0.7377  0.7377  0.5000
Pr  0.7585  0.2415  0.0000
Y  0.0000  0.0000  0.5000
Tm  0.5000  0.5000  0.0000



[10]
CaHfAl2: relaxed, PBE.

Excess energy over the best structure of this formula in the dataset ... 156 meV/atom
Energy of formation ... -0.09 eV/atom
Crystal system ... cubic

Unit cell a=4.9280 b=4.9280 c=4.9280 alpha=60.00 beta=60.00 gamma=60.00
Positions (direct):
Ca  0.0000  0.0000  0.0000
Hf  0.5000  0.5000  0.5000
Al  0.2500  0.2500  0.2500
Al  0.7500  0.7500  0.7500



[11]
SrPmRh2: relaxed, PBE.

Excess energy over the best structure of this formula in the dataset ... 0 meV/atom
Energy of formation ... -0.44 eV/atom
Crystal system ... tetragonal

Unit cell a=3.5543 b=3.5543 c=7.2303 alpha=90.00 beta=90.00 gamma=90.00
Positions (direct):
Sr  0.0000  0.0000  0.0000
Pm  0.0000  0.0000  0.5000
Rh  0.5000  0.5000  0.2797
Rh  0.5000  0.5000  0.7203



[12]
Ac4Pr2Ho: relaxed, PBE.

Energy of formation ... 0.24 eV/atom
Crystal system ... orthorhombic

Unit cell a=12.1391 b=7.7560 c=11.2708 alpha=76.83 beta=38.47 gamma=64.70
Positions (direct):
Ac  0.0170  0.4481  0.8034
Ac  0.0485  0.9515  0.2943
Ac  0.4466  0.5185  0.2330
Ac  0.4481  0.0170  0.7315
Ac  0.5185  0.4466  0.8019
Ac  0.5443  0.9557  0.2985
Ac  0.9515  0.0485  0.7057
Ac  0.9557  0.5443  0.2015
Pr  0.3031  0.6710  0.6575
Pr  0.5925  0.8816  0.9469
Pr  0.6710  0.3031  0.3684
Pr  0.8816  0.5925  0.5790
Ho  0.2475  0.2475  0.2525
Ho  0.9975  0.9975  0.0025



Number 1: M_tot 0.00 μB per atom. Number 2: M_tot 0.00 μB per atom. Number 3: M_tot 0.08 μB per atom. Number 4: M_tot 0.00 μB per atom. Number 5: M_tot 0.68 μB per atom. Number 6: M_tot 0.07 μB per atom. Number 7: M_tot 0.00 μB per atom. Number 8: M_tot 0.00 μB per atom. Number 9: M_tot 0.00 μB per atom. Number 10: M_tot 0.00 μB per atom. Number 11: M_tot 0.00 μB per atom. Number 12: M_tot 0.00 μB per atom.